Sm3Ir2: relaxed, PBE-GGA.

For the final energy, the calculation gives -7.02 eV per atom. The density is 10.939 g/cm3. Its energy above the most stable polymorph in this dataset is 0.000 eV per atom.

The structure belongs to space group Pnma (No. 62); the cell edges are 7.658, 4.193 and 15.800 Å and the angles 90.00°, 90.00° and 90.00°. The inequivalent atoms are Sm at (0.022, 0.250, 0.106), Sm at (0.135, 0.750, 0.437), Sm at (0.159, 0.250, 0.721), Ir at (0.141, 0.250, 0.300) and Ir at (0.238, 0.750, 0.043).